9
Lattice="8.0381 0.0000 0.0000 -4.0191 6.9612 0.0000 0.0000 0.0000 3.2895" Properties=species:S:1:pos:R:3 comment="Li6Bi2Sb (PBE, relaxed)" vol_a3_per_cell=184.1 dos_at_fermi_per_ev_cell=1.56 polymorph_energy_mev_per_atom=40 raw_formation_energy_kcal_per_mol_atoms=-10.17 pbc="T T T"
Li -1.3257 2.2961 0.0000
Li -2.6934 4.6651 0.0000
Li 2.6513 0.0000 0.0000
Li 1.3257 2.2961 0.0000
Li 5.3868 0.0000 0.0000
Li 2.6934 4.6651 0.0000
Bi 0.0000 4.6408 1.6447
Bi 4.0191 2.3204 1.6447
Sb 0.0000 0.0000 1.6447

=====

10
Lattice="4.5401 0.0000 0.0000 0.0000 4.5401 0.0000 0.0000 0.0000 15.8996" Properties=species:S:1:pos:R:3 comment="LiBi2Sb2 (PBE, relaxed)" vol_a3_per_cell=327.7 dos_at_fermi_per_ev_cell=5.79 polymorph_energy_mev_per_atom=97 raw_formation_energy_kcal_per_mol_atoms=2.39 pbc="T T T"
Li 0.0000 0.0000 0.0000
Li 2.2700 2.2700 7.9498
Bi 0.0000 2.2700 3.9749
Bi 0.0000 2.2700 11.9247
Bi 2.2700 0.0000 3.9749
Bi 2.2700 0.0000 11.9247
Sb 0.0000 0.0000 6.5402
Sb 0.0000 0.0000 9.3594
Sb 2.2700 2.2700 1.4096
Sb 2.2700 2.2700 14.4900

=====

12
Lattice="4.5103 0.0000 0.0000 0.0000 8.4775 0.0000 -2.1929 0.0000 6.9476" Properties=species:S:1:pos:R:3 comment="Li6BiSb5 (PBE, relaxed)" vol_a3_per_cell=265.6 dos_at_fermi_per_ev_cell=2.78 raw_formation_energy_kcal_per_mol_atoms=-9.46 pbc="T T T"
Li 0.0000 2.0632 0.0000
Li 0.0000 6.4143 0.0000
Li 0.0390 2.0937 4.5832
Li 0.0390 6.3839 4.5832
Li 2.2785 2.0937 2.3644
Li 2.2785 6.3839 2.3644
Bi 2.2552 4.2388 0.0000
Sb 0.0201 0.0000 2.3147
Sb 0.0159 4.2388 2.3322
Sb 2.2552 0.0000 0.0000
Sb 2.3016 4.2388 4.6154
Sb 2.2974 0.0000 4.6329

=====

8
Lattice="7.0021 0.0000 0.0000 0.0000 4.1047 0.0000 -2.3975 0.0000 6.6885" Properties=species:S:1:pos:R:3 comment="Li2BiSbSe4 (PBE, relaxed)" vol_a3_per_cell=192.2 raw_formation_energy_kcal_per_mol_atoms=-15.69 pbc="T T T"
Li 0.0000 0.0000 0.0000
Li -1.1988 2.0523 3.3442
Bi 2.3023 0.0000 3.3442
Sb 3.5010 2.0523 0.0000
Se 1.0777 2.0523 1.6075
Se -0.1269 0.0000 5.0296
Se 4.7314 0.0000 1.6588
Se 3.5268 2.0523 5.0810

=====

8
Lattice="6.9971 0.0000 0.0000 0.0000 4.0102 0.0000 -2.3516 0.0000 7.4453" Properties=species:S:1:pos:R:3 comment="LiBiSb2Se4 (PBE, relaxed)" vol_a3_per_cell=208.9 dos_at_fermi_per_ev_cell=2.78 raw_formation_energy_kcal_per_mol_atoms=-7.64 pbc="T T T"
Li 0.0000 0.0000 0.0000
Bi -1.1758 2.0051 3.7227
Sb 2.3228 0.0000 3.7227
Sb 3.4986 2.0051 0.0000
Se -0.0183 0.0000 5.6992
Se 1.2251 2.0051 1.8745
Se 3.4205 2.0051 5.5708
Se 4.6639 0.0000 1.7461

=====

10
Lattice="4.6279 0.0000 0.0000 0.0000 4.6279 0.0000 0.0000 0.0000 12.1116" Properties=species:S:1:pos:R:3 comment="Sr2Li4BiSb3 (PBE, relaxed)" vol_a3_per_cell=259.4 dos_at_fermi_per_ev_cell=2.91 raw_formation_energy_kcal_per_mol_atoms=-16.77 pbc="T T T"
Sr 0.0000 2.3140 2.8201
Sr 2.3140 0.0000 9.2915
Li 0.0000 0.0000 0.0000
Li 0.0000 2.3140 7.8063
Li 2.3140 0.0000 4.3053
Li 2.3140 2.3140 0.0000
Bi 0.0000 0.0000 6.0558
Sb 0.0000 2.3140 10.4563
Sb 2.3140 0.0000 1.6553
Sb 2.3140 2.3140 6.0558

=====

Across the entries above, spin magnetization takes the values 0.00; 0.00; 0.00; 0.00; 0.00; 0.00 Bohr magnetons per cell, respectively.